[1]
DFT (PBE-GGA) results for a geometry-optimized FeAg2Sb structure.

## Properties
E_tot = -4.168 eV per atom

```
data_FeAg2Sb
_space_group_name_H-M_alt 'P 1'
_space_group_IT_number 1
_cell_length_a 3.9429
_cell_length_b 3.9429
_cell_length_c 10.4573
_cell_angle_alpha 79.13
_cell_angle_beta 79.13
_cell_angle_gamma 90.00
loop_
_space_group_symop_operation_xyz
'x,y,z'
loop_
_atom_site_label
_atom_site_fract_x
_atom_site_fract_y
_atom_site_fract_z
Sb1 0.0000 0.0000 0.0000
Sb2 0.7500 0.2500 0.5000
Fe1 0.5000 0.5000 0.0000
Fe2 0.2500 0.7500 0.5000
Ag1 0.6183 0.1250 0.2500
Ag2 0.1317 0.6250 0.2500
Ag3 0.3750 0.3817 0.7500
Ag4 0.8750 0.8683 0.7500
```

***

[2]
DFT (PBE-GGA) results for a geometry-optimized Ba4Pa3CrN8 structure.

## Properties
E_tot = -8.016 eV per atom

```
data_Ba4Pa3CrN8
_space_group_name_H-M_alt 'P 1'
_space_group_IT_number 1
_cell_length_a 7.1268
_cell_length_b 7.6157
_cell_length_c 7.1276
_cell_angle_alpha 117.90
_cell_angle_beta 120.00
_cell_angle_gamma 90.00
loop_
_space_group_symop_operation_xyz
'x,y,z'
loop_
_atom_site_label
_atom_site_fract_x
_atom_site_fract_y
_atom_site_fract_z
Ba1 0.5000 0.0000 0.0000
Ba2 0.5000 0.0000 0.5000
Ba3 0.0000 0.0000 0.0000
Ba4 0.0000 0.0000 0.5000
Pa1 0.5000 0.5000 0.0000
Pa2 0.5000 0.5000 0.5000
Pa3 0.0000 0.5000 0.5000
Cr1 0.0000 0.5000 0.0000
N1 0.2257 0.6734 0.9476
N2 0.2260 0.6736 0.4519
N3 0.2754 0.3261 0.5507
N4 0.7219 0.6734 0.9476
N5 0.2781 0.3266 0.0524
N6 0.7246 0.6739 0.4493
N7 0.7740 0.3264 0.5481
N8 0.7743 0.3266 0.0524
```

***

no.,ΔE_f (raw) (eV per atom),total moment (μB per formula unit)
1,0.40,2.9
2,-0.99,2.6